The following is a GGA-PBE calculation of LiH4I after structural relaxation, from the Alexandria database.

Geometry as POSCAR:
```
LiH4I
1.0
5.674 0.000 0.000
0.040 5.817 0.000
2.820 0.014 6.042
Li H I
2 8 2
direct
0.249 0.250 0.000
0.751 0.750 0.000
0.004 0.745 0.638
0.127 0.243 0.366
0.356 0.244 0.638
0.490 0.259 0.634
0.510 0.741 0.366
0.644 0.756 0.362
0.873 0.757 0.634
0.996 0.255 0.362
0.251 0.750 0.000
0.749 0.250 0.000
```

Crystal system: triclinic
Symmetry: P-1


The following is a GGA-PBE calculation of LiH2I2 after structural relaxation, from the Alexandria database.

Geometry as POSCAR:
```
LiH2I2
1.0
3.914 0.000 0.000
0.000 3.914 0.000
0.000 0.000 12.813
Li H I
2 4 4
direct
0.000 0.000 0.000
0.500 0.500 0.500
0.000 0.500 0.250
0.000 0.500 0.750
0.500 0.000 0.250
0.500 0.000 0.750
0.000 0.000 0.354
0.000 0.000 0.646
0.500 0.500 0.146
0.500 0.500 0.854
```

ΔE to the lowest computed polymorph (meV/atom): 599
Crystal system: tetragonal
Symmetry: I4/mmm


no.,E (Ha/atom),total moment (μB/f.u.),DOS at the Fermi energy (states/eV per cell)
1,-0.1177,0.0,0.00
2,-0.0758,0.0,3.68